Record 1
Hf4Cu2Os | GGA-PBE | relaxed

## Properties
ΔE_f = -101 kJ/mol of formula units
total DFT energy (no corrections) = -60.281 eV per cell

Cell lengths 4.5484, 4.5484, 7.7398 Å; angles 72.91, 72.91, 60.00 degrees
Last column: nearest neighbours and their distance in Å.
Positions (direct):
Os: 0.0000 0.0000 0.0000  8 Hf 2.80-2.82
Hf: 0.8717 0.8717 0.3849  4 Cu 2.72-2.83, 1 Os 2.80
Hf: 0.3801 0.3801 0.8598  4 Cu 2.73-2.78, 3 Os 2.82
Hf: 0.1283 0.1283 0.6151  4 Cu 2.72-2.83, 1 Os 2.80
Hf: 0.6199 0.6199 0.1402  4 Cu 2.73-2.78, 3 Os 2.82
Cu: 0.7470 0.7470 0.7591  8 Hf 2.72-2.83
Cu: 0.2530 0.2530 0.2409  8 Hf 2.72-2.83

=====

Record 2
HfCuOsPd2 | GGA-PBE | relaxed

## Properties
ΔE_f = 552 kJ/mol of formula units
total DFT energy (no corrections) = -29.945 eV per cell

Cell lengths 4.7718, 4.5527, 4.7718 Å; angles 90.00, 90.00, 90.00 degrees
Last column: nearest neighbours and their distance in Å.
Positions (direct):
Pd: 0.0000 0.0000 0.5000  2 Os 2.39
Pd: 0.5000 0.0000 0.0000  2 Os 2.39
Cu: 0.0000 0.5000 0.0000  2 Os 2.28
Hf: 0.5000 0.5000 0.5000  8 Pd 3.30, 4 Cu 3.37
Os: 0.0000 0.0000 0.0000  2 Cu 2.28, 4 Pd 2.39

=====

Record 3
PmHfCuOs | GGA-PBE | relaxed

## Properties
ΔE_f = -54 kJ/mol of formula units
total DFT energy (no corrections) = -30.589 eV per cell

Cell lengths 4.7899, 4.7899, 4.7899 Å; angles 60.00, 60.00, 60.00 degrees
Last column: nearest neighbours and their distance in Å.
Positions (direct):
Cu: 0.7500 0.7500 0.7500  4 Pm 2.93, 4 Hf 2.93
Pm: 0.5000 0.5000 0.5000  4 Cu 2.93, 4 Os 2.93
Hf: 0.0000 0.0000 0.0000  4 Os 2.93, 4 Cu 2.93
Os: 0.2500 0.2500 0.2500  4 Pm 2.93, 4 Hf 2.93

=====

- Which formula does entry 1 have?
  Hf4Cu2Os

=====

Repeat the third record exactly.
PmHfCuOs | GGA-PBE | relaxed

## Properties
ΔE_f = -54 kJ/mol of formula units
total DFT energy (no corrections) = -30.589 eV per cell

Cell lengths 4.7899, 4.7899, 4.7899 Å; angles 60.00, 60.00, 60.00 degrees
Last column: nearest neighbours and their distance in Å.
Positions (direct):
Cu: 0.7500 0.7500 0.7500  4 Pm 2.93, 4 Hf 2.93
Pm: 0.5000 0.5000 0.5000  4 Cu 2.93, 4 Os 2.93
Hf: 0.0000 0.0000 0.0000  4 Os 2.93, 4 Cu 2.93
Os: 0.2500 0.2500 0.2500  4 Pm 2.93, 4 Hf 2.93